Below is a relaxed ZrCrN3 crystal, with properties calculated at the PBE level.

Output
Size of the total moment   0.00 μB per cell
Formation energy without anion corrections   -5.62 kcal/mol of atoms
Electronic total energy   -8.87 eV/atom

Cell lengths 3.688, 3.688, 3.688 Å; angles 90.00, 90.00, 90.00 degrees
Space group Pm-3m (No. 221)
One atom of each set of equivalent atoms:
1 Zr 0.000 0.000 0.000 x1
2 Cr 0.500 0.500 0.500 x1
3 N 0.000 0.500 0.500 x3